[1]
Material: Cs2LaPb
Method: DFT, PBE
State: optimized geometry

```
Cs2LaPb
1.0
8.9970 0.0000 0.0000
0.0000 8.9970 0.0000
0.0000 0.0000 8.9970
Cs La Pb
8 4 4
direct
0.2500 0.2500 0.2500
0.2500 0.2500 0.7500
0.2500 0.7500 0.2500
0.2500 0.7500 0.7500
0.7500 0.2500 0.2500
0.7500 0.2500 0.7500
0.7500 0.7500 0.2500
0.7500 0.7500 0.7500
0.0000 0.0000 0.0000
0.0000 0.5000 0.5000
0.5000 0.0000 0.5000
0.5000 0.5000 0.0000
0.0000 0.0000 0.5000
0.0000 0.5000 0.0000
0.5000 0.0000 0.0000
0.5000 0.5000 0.5000
```

Its formation energy is 502 meV/atom.

---

[2]
Material: CsLa2Pb2
Method: DFT, PBE
State: optimized geometry

```
CsLa2Pb2
1.0
9.9265 0.0000 0.0000
0.0000 9.9265 0.0000
0.0000 0.0000 3.7104
Cs La Pb
2 4 4
direct
0.0000 0.0000 0.0000
0.5000 0.5000 0.0000
0.1289 0.3711 0.0000
0.3711 0.8711 0.0000
0.6289 0.1289 0.0000
0.8711 0.6289 0.0000
0.1665 0.6665 0.5000
0.3335 0.1665 0.5000
0.6665 0.8335 0.5000
0.8335 0.3335 0.5000
```

Its formation energy is -392 meV/atom. The energy relative to the lowest polymorph listed for this composition is 0.0 meV/atom.

---

[3]
Material: Cs2LaPb2
Method: DFT, PBE
State: optimized geometry

```
Cs2LaPb2
1.0
8.4492 0.0000 0.0000
0.0000 8.4492 0.0000
0.0000 0.0000 6.7113
Cs La Pb
4 2 4
direct
0.1669 0.3331 0.0000
0.3331 0.8331 0.0000
0.6669 0.1669 0.0000
0.8331 0.6669 0.0000
0.0000 0.0000 0.5000
0.5000 0.5000 0.5000
0.1296 0.6296 0.5000
0.3704 0.1296 0.5000
0.6296 0.8704 0.5000
0.8704 0.3704 0.5000
```

Its formation energy is -15 meV/atom.

---

[4]
Material: CsLaPb2
Method: DFT, PBE
State: optimized geometry

```
CsLaPb2
1.0
3.9171 0.0000 0.0000
-1.9585 3.3923 0.0000
0.0000 0.0000 35.0466
Cs La Pb
3 3 6
direct
0.0000 0.0000 0.0000
0.3333 0.6667 0.6667
0.6667 0.3333 0.3333
0.0000 0.0000 0.5000
0.3333 0.6667 0.1667
0.6667 0.3333 0.8333
0.0000 0.0000 0.2419
0.0000 0.0000 0.7581
0.3333 0.6667 0.4247
0.3333 0.6667 0.9086
0.6667 0.3333 0.0914
0.6667 0.3333 0.5753
```

Its formation energy is -135 meV/atom. The energy relative to the lowest polymorph listed for this composition is 223.1 meV/atom.

---

[5]
Material: CsLaPb4
Method: DFT, PBE
State: optimized geometry

```
CsLaPb4
1.0
0.0000 4.7290 4.7290
4.7290 0.0000 4.7290
4.7290 4.7290 0.0000
Cs La Pb
1 1 4
direct
0.0000 0.0000 0.0000
0.2500 0.2500 0.2500
0.1307 0.6231 0.6231
0.6231 0.1307 0.6231
0.6231 0.6231 0.1307
0.6231 0.6231 0.6231
```

Its formation energy is -190 meV/atom.

---

[6]
Material: CsLaPb3
Method: DFT, PBE
State: optimized geometry

```
CsLaPb3
1.0
6.0823 0.0000 0.0000
0.0000 6.0823 0.0000
0.0000 0.0000 6.0823
Cs La Pb
1 1 3
direct
0.0000 0.0000 0.0000
0.5000 0.5000 0.5000
0.0000 0.0000 0.5000
0.0000 0.5000 0.0000
0.5000 0.0000 0.0000
```

Its formation energy is 937 meV/atom. The energy relative to the lowest polymorph listed for this composition is 804.2 meV/atom.

---

[7]
Material: Cs2LaPbS4
Method: DFT, PBE
State: optimized geometry

```
Cs2LaPbS4
1.0
-4.4300 4.5474 6.3911
4.4300 -4.5474 6.3911
4.4300 4.5474 -6.3911
Cs La Pb S
4 2 2 8
direct
0.0000 0.0000 0.0000
0.5000 0.0000 0.0000
0.5000 0.0000 0.5000
0.5000 0.5000 0.5000
0.0000 0.0000 0.5000
0.0000 0.5000 0.0000
0.0000 0.5000 0.5000
0.5000 0.5000 0.0000
0.1902 0.7320 0.4582
0.2261 0.2680 0.9582
0.2315 0.2725 0.5410
0.2315 0.6906 0.9590
0.7685 0.3094 0.0410
0.7685 0.7275 0.4590
0.7739 0.7320 0.0418
0.8098 0.2680 0.5418
```

The value obtained for the calculated total energy is -0.3339 Ry/atom.

---

[8]
Material: Cs3La2PbS6
Method: DFT, PBE
State: optimized geometry

```
Cs3La2PbS6
1.0
3.7426 -6.4807 0.0000
3.7426 6.4807 0.0000
-2.4871 0.0000 8.0865
Cs La Pb S
3 2 1 6
direct
0.0000 0.0000 0.0000
0.3356 0.6644 0.0000
0.6644 0.3356 0.0000
0.1669 0.8331 0.5000
0.8331 0.1669 0.5000
0.5000 0.5000 0.5000
0.1020 0.4369 0.3106
0.2279 0.2279 0.6890
0.4369 0.1020 0.3106
0.5631 0.8980 0.6894
0.7721 0.7721 0.3110
0.8980 0.5631 0.6894
```

The value obtained for the calculated total energy is -0.3568 Ry/atom.

---

[9]
Material: CsLa2TcPb
Method: DFT, PBE
State: optimized geometry

```
CsLa2TcPb
1.0
5.4928 0.0000 0.0000
0.0000 5.4928 0.0000
0.0000 0.0000 5.6881
Cs La Tc Pb
1 2 1 1
direct
0.0000 0.0000 0.0000
0.0000 0.5000 0.5000
0.5000 0.0000 0.5000
0.0000 0.0000 0.5000
0.5000 0.5000 0.0000
```

Its formation energy is 297 meV/atom. The energy relative to the lowest polymorph listed for this composition is 0.0 meV/atom.

---

[10]
Material: CsLa2TcPb
Method: DFT, PBE
State: optimized geometry

```
CsLa2TcPb
1.0
5.8647 0.0000 0.0000
0.0000 5.8647 0.0000
0.0000 0.0000 4.9295
Cs La Tc Pb
1 2 1 1
direct
0.0000 0.0000 0.0000
0.0000 0.5000 0.0000
0.5000 0.0000 0.0000
0.0000 0.0000 0.5000
0.5000 0.5000 0.5000
```

Its formation energy is 1272 meV/atom. The energy relative to the lowest polymorph listed for this composition is 975.2 meV/atom.

---

[11]
Material: CsLa2Te6Pb3
Method: DFT, PBE
State: optimized geometry

```
CsLa2Te6Pb3
1.0
10.1825 -2.4578 0.0000
10.1825 2.4578 0.0000
-1.4270 0.0000 9.6334
Cs La Te Pb
1 2 6 3
direct
0.0000 0.0000 0.0000
0.3297 0.3297 0.6605
0.6703 0.6703 0.3395
0.1654 0.1654 0.5796
0.1843 0.1843 0.1306
0.4843 0.4843 0.7114
0.5157 0.5157 0.2885
0.8157 0.8157 0.8694
0.8346 0.8346 0.4204
0.0000 0.0000 0.5000
0.3357 0.3357 0.2179
0.6643 0.6643 0.7821
```

The value obtained for the calculated total energy is -0.3133 Ry/atom.

---

[12]
Material: Cs4La3Te8Pb
Method: DFT, PBE
State: optimized geometry

```
Cs4La3Te8Pb
1.0
4.7625 2.7496 8.9486
-4.7625 2.7496 8.9486
0.0000 -5.4992 8.9486
Cs La Te Pb
4 3 8 1
direct
0.0000 0.0000 0.0000
0.0000 0.5000 0.5000
0.5000 0.0000 0.5000
0.5000 0.5000 0.0000
0.0000 0.0000 0.5000
0.0000 0.5000 0.0000
0.5000 0.0000 0.0000
0.2291 0.7333 0.7333
0.2324 0.2324 0.2324
0.2667 0.2667 0.7709
0.2667 0.7709 0.2667
0.7333 0.2291 0.7333
0.7333 0.7333 0.2291
0.7676 0.7676 0.7676
0.7709 0.2667 0.2667
0.5000 0.5000 0.5000
```

The value obtained for the calculated total energy is -0.3076 Ry/atom.